No. 1
# Pr8PSe4S3 (PBE, relaxed)
data_Pr8PSe4S3
_space_group_name_H-M_alt 'R -3 m'
_space_group_IT_number 166
_space_group_name_Hall '-R 3 2"'
_cell_length_a 8.3569
_cell_length_b 8.3569
_cell_length_c 20.8509
_cell_angle_alpha 90.00
_cell_angle_beta 90.00
_cell_angle_gamma 120.00
loop_
_atom_site_label
_atom_site_fract_x
_atom_site_fract_y
_atom_site_fract_z
_atom_site_occupancy
Pr1 0.0000 0.0000 0.2425 1
Pr2 0.0035 0.5018 0.2425 1
P1 0.0000 0.0000 0.5000 1
Se1 0.0000 0.0000 0.0000 1
Se2 0.0000 0.5000 0.0000 1
S1 0.0000 0.5000 0.5000 1
# E_form (uncorrected), meV per atom: -1905
# Calculated volume, Å³ per cell: 1261
# M_tot, μB/f.u.: 0.000
# Calculated total energy, Ry/atom: -0.461

No. 2
# Pr8P4Se3S (PBE, relaxed)
data_Pr8P4Se3S
_space_group_name_H-M_alt 'R -3 m'
_space_group_IT_number 166
_space_group_name_Hall '-R 3 2"'
_cell_length_a 8.3958
_cell_length_b 8.3958
_cell_length_c 20.9145
_cell_angle_alpha 90.00
_cell_angle_beta 90.00
_cell_angle_gamma 120.00
loop_
_atom_site_label
_atom_site_fract_x
_atom_site_fract_y
_atom_site_fract_z
_atom_site_occupancy
Pr1 0.0000 0.0000 0.2438 1
Pr2 0.0039 0.5020 0.7551 1
P1 0.0000 0.0000 0.5000 1
P2 0.0000 0.5000 0.5000 1
Se1 0.0000 0.5000 0.0000 1
S1 0.0000 0.0000 0.0000 1
# E_form (uncorrected), meV per atom: -1781
# Calculated volume, Å³ per cell: 1277
# M_tot, μB/f.u.: 0.000
# Calculated total energy, Ry/atom: -0.473

No. 3
# Pr6P3Se2S (PBE, relaxed)
data_Pr6P3Se2S
_space_group_name_H-M_alt 'C 1 2/m 1'
_space_group_IT_number 12
_cell_length_a 18.4359
_cell_length_b 4.1974
_cell_length_c 8.4652
_cell_angle_alpha 90.00
_cell_angle_beta 104.08
_cell_angle_gamma 90.00
loop_
_space_group_symop_operation_xyz
'x,y,z'
'-x,-y,-z'
'-x,y,-z'
'x,-y,z'
'x+1/2,y+1/2,z'
'-x+1/2,-y+1/2,-z'
'-x+1/2,y+1/2,-z'
'x+1/2,-y+1/2,z'
loop_
_atom_site_label
_atom_site_fract_x
_atom_site_fract_y
_atom_site_fract_z
_atom_site_occupancy
Pr1 0.0042 0.0000 0.2468 1
Pr2 0.1623 0.5000 0.0941 1
Pr3 0.1681 0.5000 0.5720 1
P1 0.0000 0.5000 0.0000 1
P2 0.1673 0.0000 0.3342 1
Se1 0.1664 0.0000 0.8335 1
S1 0.0000 0.5000 0.5000 1
# E_form (uncorrected), meV per atom: -1786
# Calculated volume, Å³ per cell: 635
# M_tot, μB/f.u.: 0.000
# Calculated total energy, Ry/atom: -0.474